Entry one
Below is crystalline CrMoW at its relaxed geometry, with properties calculated at the GGA-PBE level.

Structure (POSCAR):
```
CrMoW
1.0
5.350 0.000 0.014
0.000 4.354 0.000
-5.316 0.000 7.541
Cr W Mo
4 4 4
direct
0.620 0.500 0.060
0.121 0.500 0.727
0.620 0.000 0.560
0.121 0.000 0.227
0.622 0.000 0.226
0.117 0.500 0.389
0.622 0.500 0.726
0.117 0.000 0.889
0.122 0.500 0.062
0.622 0.500 0.398
0.122 0.000 0.562
0.622 0.000 0.898
```

Computed properties:
**Space-group type**: No. 8

---

Entry two
Below is crystalline CrMoW at its relaxed geometry, with properties calculated at the GGA-PBE level.

Structure (POSCAR):
```
CrMoW
1.0
5.108 0.000 0.000
3.248 3.943 0.000
-4.178 -1.971 2.180
Mo W Cr
1 1 1
direct
0.338 0.338 0.000
0.662 0.662 0.000
0.000 0.000 0.000
```

Computed properties:
**Space-group type**: No. 107

---

Which structure is the most stable? The one labeled entry two.

---

Entry one
Below is crystalline CrMo2W at its relaxed geometry, with properties calculated at the GGA-PBE level.

Structure (POSCAR):
```
CrMo2W
1.0
-2.303 -0.658 -4.652
3.509 -3.457 1.765
-1.921 -1.365 1.144
Mo Cr W
2 1 1
direct
0.500 0.500 0.000
0.000 0.000 0.000
0.000 0.500 0.500
0.500 0.000 0.500
```

Computed properties:
**Space-group type**: No. 65

---

Entry two
Below is crystalline CrMo2W at its relaxed geometry, with properties calculated at the GGA-PBE level.

Structure (POSCAR):
```
CrMo2W
1.0
-0.206 2.351 2.023
1.488 -1.704 2.132
5.431 2.215 -2.021
Mo W Cr
2 1 1
direct
0.000 0.000 0.990
0.000 0.000 0.510
0.500 0.500 0.250
0.500 0.500 0.750
```

Computed properties:
**Space-group type**: No. 123

---

Entry three
Below is crystalline CrMo2W at its relaxed geometry, with properties calculated at the GGA-PBE level.

Structure (POSCAR):
```
CrMo2W
1.0
-0.347 -0.722 -4.288
-2.192 -1.527 0.434
-3.661 3.622 -0.313
Cr Mo W
1 2 1
direct
0.500 0.752 0.749
0.500 0.247 0.250
0.000 0.000 0.995
0.000 0.501 0.506
```

Computed properties:
**Space-group type**: No. 6

---

Which structure is the most stable? The one labeled entry two.

---

Entry one
Below is crystalline CrMo2W at its relaxed geometry, with properties calculated at the GGA-PBE level.

Structure (POSCAR):
```
CrMo2W
1.0
3.116 0.000 0.000
0.000 4.372 0.000
0.000 0.000 4.395
Mo Cr W
2 1 1
direct
0.000 0.000 0.000
0.500 0.500 0.000
0.000 0.500 0.500
0.500 0.000 0.500
```

Computed properties:
**Space-group type**: No. 47

---

Entry two
Below is crystalline CrMo2W at its relaxed geometry, with properties calculated at the GGA-PBE level.

Structure (POSCAR):
```
CrMo2W
1.0
-1.361 -1.774 -1.360
-0.257 -2.631 3.688
-4.409 2.338 1.361
Mo Cr W
2 1 1
direct
0.000 0.000 0.505
0.000 0.000 0.995
0.500 0.500 0.750
0.500 0.500 0.250
```

Computed properties:
**Space-group type**: No. 47

---

Entry three
Below is crystalline CrMo2W at its relaxed geometry, with properties calculated at the GGA-PBE level.

Structure (POSCAR):
```
CrMo2W
1.0
4.372 0.000 0.000
0.000 2.706 -0.005
0.000 0.894 5.073
Mo Cr W
2 1 1
direct
0.000 0.501 0.506
0.000 0.999 0.994
0.500 0.750 0.750
0.500 0.250 0.250
```

Computed properties:
**Space-group type**: No. 10

---

Which structure is the most stable? The one labeled entry one.

---

Entry one
Below is crystalline CrMo3W at its relaxed geometry, with properties calculated at the GGA-PBE level.

Structure (POSCAR):
```
CrMo3W
1.0
4.420 0.000 0.000
0.000 4.420 0.000
0.000 0.000 4.420
Mo Cr W
3 1 1
direct
0.000 0.000 0.500
0.000 0.500 0.000
0.500 0.000 0.000
0.000 0.000 0.000
0.500 0.500 0.500
```

Computed properties:
**Space-group type**: No. 221

---

Entry two
Below is crystalline CrMo3W at its relaxed geometry, with properties calculated at the GGA-PBE level.

Structure (POSCAR):
```
CrMo3W
1.0
7.570 -3.648 -1.712
-3.618 5.519 0.818
-2.584 1.824 6.165
Mo Cr W
6 2 2
direct
0.785 0.167 0.372
0.215 0.833 0.628
0.000 0.500 0.000
0.000 0.000 0.000
0.413 0.667 0.628
0.587 0.333 0.372
0.813 0.750 0.626
0.187 0.250 0.374
0.533 0.750 0.066
0.467 0.250 0.934
```

Computed properties:
**Space-group type**: No. 15

---

Entry three
Below is crystalline CrMo3W at its relaxed geometry, with properties calculated at the GGA-PBE level.

Structure (POSCAR):
```
CrMo3W
1.0
5.248 -0.048 -0.274
2.604 4.476 -0.276
2.271 1.578 6.400
Cr Mo W
2 6 2
direct
0.089 0.798 0.025
0.992 0.207 0.733
0.886 0.130 0.421
0.328 0.567 0.652
0.088 0.317 0.033
0.897 0.639 0.410
0.380 0.147 0.426
0.604 0.267 0.033
0.643 0.861 0.806
0.476 0.716 0.222
```

Computed properties:
**Space-group type**: No. 1

---

Which structure is the most stable? The one labeled entry three.

---

Entry one
Below is crystalline Cr2MoW2 at its relaxed geometry, with properties calculated at the GGA-PBE level.

Structure (POSCAR):
```
Cr2MoW2
1.0
7.235 0.000 0.000
0.000 7.235 0.000
0.000 0.000 2.855
W Cr Mo
4 4 2
direct
0.149 0.351 0.000
0.851 0.649 0.000
0.649 0.149 0.000
0.351 0.851 0.000
0.652 0.848 0.500
0.848 0.348 0.500
0.348 0.152 0.500
0.152 0.652 0.500
0.000 0.000 0.000
0.500 0.500 0.000
```

Computed properties:
**Space-group type**: No. 127

---

Entry two
Below is crystalline Cr2MoW2 at its relaxed geometry, with properties calculated at the GGA-PBE level.

Structure (POSCAR):
```
Cr2MoW2
1.0
3.144 0.000 0.000
0.000 3.144 0.000
1.572 1.572 7.693
Cr Mo W
2 1 2
direct
0.250 0.750 0.500
0.750 0.250 0.500
0.000 0.000 0.000
0.398 0.398 0.205
0.602 0.602 0.795
```

Computed properties:
**Space-group type**: No. 139

---

Which structure is the most stable? The one labeled entry one.

---

Entry one
Below is crystalline CrMo6W at its relaxed geometry, with properties calculated at the GGA-PBE level.

Structure (POSCAR):
```
CrMo6W
1.0
-2.119 -1.117 6.646
-0.343 -6.586 2.531
1.925 -2.357 3.966
Mo W Cr
6 1 1
direct
0.247 0.000 0.252
0.753 0.000 0.748
0.501 0.247 0.252
0.499 0.753 0.748
0.000 0.501 0.252
0.000 0.499 0.748
0.500 0.500 0.500
0.000 0.000 0.000
```

Computed properties:
**Space-group type**: No. 148

---

Entry two
Below is crystalline CrMo6W at its relaxed geometry, with properties calculated at the GGA-PBE level.

Structure (POSCAR):
```
CrMo6W
1.0
5.293 -0.861 -1.347
-1.504 5.147 -1.347
-0.761 -0.861 5.408
Cr Mo W
1 6 1
direct
0.500 0.500 0.500
0.250 0.740 0.250
0.750 0.260 0.750
0.740 0.250 0.250
0.750 0.750 0.260
0.250 0.250 0.740
0.260 0.750 0.750
0.000 0.000 0.000
```

Computed properties:
**Space-group type**: No. 166

---

Which structure is the most stable? The one labeled entry one.

---

Entry one
Below is crystalline YCrMo2 at its relaxed geometry, with properties calculated at the GGA-PBE level.

Structure (POSCAR):
```
YCrMo2
1.0
4.645 0.000 0.000
2.323 4.023 0.000
2.323 1.341 3.793
Cr Mo Y
1 2 1
direct
0.500 0.500 0.500
0.000 0.000 0.000
0.250 0.250 0.250
0.750 0.750 0.750
```

Computed properties:
**Space-group type**: No. 216

---

Entry two
Below is crystalline YCrMo2 at its relaxed geometry, with properties calculated at the GGA-PBE level.

Structure (POSCAR):
```
YCrMo2
1.0
5.430 0.008 -0.028
4.511 3.023 -0.028
2.098 0.640 4.220
Y Cr Mo
1 1 2
direct
0.250 0.250 0.250
0.750 0.750 0.750
0.477 0.477 0.523
0.023 0.023 0.977
```

Computed properties:
**Space-group type**: No. 12

---

Entry three
Below is crystalline YCrMo2 at its relaxed geometry, with properties calculated at the GGA-PBE level.

Structure (POSCAR):
```
YCrMo2
1.0
3.087 0.000 0.000
0.000 3.087 0.000
0.000 0.000 7.400
Mo Y Cr
2 1 1
direct
0.000 0.000 0.942
0.000 0.000 0.558
0.500 0.500 0.250
0.500 0.500 0.750
```

Computed properties:
**Space-group type**: No. 123

---

Entry four
Below is crystalline YCrMo2 at its relaxed geometry, with properties calculated at the GGA-PBE level.

Structure (POSCAR):
```
YCrMo2
1.0
-1.061 -2.837 -1.090
2.450 -0.115 -2.085
3.943 -3.325 4.817
Mo Y Cr
2 1 1
direct
0.500 0.500 0.206
0.000 0.000 0.999
0.000 0.000 0.496
0.500 0.500 0.799
```

Computed properties:
**Space-group type**: No. 99

---

Which structure is the most stable? The one labeled entry four.

---

Entry one
Below is crystalline YCrMo3 at its relaxed geometry, with properties calculated at the GGA-PBE level.

Structure (POSCAR):
```
YCrMo3
1.0
-0.487 -3.932 2.350
4.282 0.448 1.638
-1.626 2.358 3.608
Cr Mo Y
1 3 1
direct
0.000 0.000 0.000
0.500 0.000 0.000
0.000 0.500 0.000
0.000 0.000 0.500
0.500 0.500 0.500
```

Computed properties:
**Space-group type**: No. 221

---

Entry two
Below is crystalline YCrMo3 at its relaxed geometry, with properties calculated at the GGA-PBE level.

Structure (POSCAR):
```
YCrMo3
1.0
4.718 0.000 0.000
0.000 4.718 0.000
0.000 0.000 4.718
Mo Cr Y
3 1 1
direct
0.500 0.000 0.000
0.000 0.500 0.000
0.000 0.000 0.500
0.500 0.500 0.500
0.000 0.000 0.000
```

Computed properties:
**Space-group type**: No. 221

---

Which structure is the most stable? The one labeled entry one.

---

Entry one
Below is crystalline ZrCr2Mo at its relaxed geometry, with properties calculated at the GGA-PBE level.

Structure (POSCAR):
```
ZrCr2Mo
1.0
-4.708 2.368 0.836
-3.294 -1.510 3.917
5.128 1.249 -0.781
Cr Zr Mo
2 1 1
direct
0.250 0.750 0.500
0.000 0.000 0.000
0.750 0.250 0.500
0.500 0.500 0.000
```

Computed properties:
**Space-group type**: No. 119

---

Entry two
Below is crystalline ZrCr2Mo at its relaxed geometry, with properties calculated at the GGA-PBE level.

Structure (POSCAR):
```
ZrCr2Mo
1.0
4.158 0.000 0.000
0.000 2.877 0.018
0.000 1.101 5.255
Mo Cr Zr
1 2 1
direct
0.500 0.250 0.250
0.000 0.512 0.448
0.000 0.988 0.052
0.500 0.750 0.750
```

Computed properties:
**Space-group type**: No. 10

---

Which structure is the most stable? The one labeled entry two.

---

Entry one
Below is crystalline ZrCr2Mo at its relaxed geometry, with properties calculated at the GGA-PBE level.

Structure (POSCAR):
```
ZrCr2Mo
1.0
-0.034 -4.747 1.857
-0.688 -3.624 -3.517
3.037 3.835 1.431
Cr Mo Zr
2 1 1
direct
0.988 0.988 0.000
0.512 0.512 0.000
0.750 0.250 0.500
0.250 0.750 0.500
```

Computed properties:
**Space-group type**: No. 71

---

Entry two
Below is crystalline ZrCr2Mo at its relaxed geometry, with properties calculated at the GGA-PBE level.

Structure (POSCAR):
```
ZrCr2Mo
1.0
6.928 0.000 0.000
0.000 6.928 0.000
3.464 3.464 2.738
Cr Mo Zr
4 2 2
direct
0.375 0.346 0.750
0.875 0.904 0.750
0.096 0.625 0.250
0.654 0.125 0.250
0.750 0.250 0.500
0.000 0.000 0.000
0.250 0.750 0.500
0.500 0.500 0.000
```

Computed properties:
**Space-group type**: No. 122

---

Which structure is the most stable? The one labeled entry one.